A plane-wave DFT calculation with PBE+U was carried out for an optimized crystal structure of K2InMoO6.

Structure (CIF):
```
data_K2InMoO6
_cell_length_a 6.043
_cell_length_b 6.043
_cell_length_c 10.442
_cell_angle_alpha 73.18
_cell_angle_beta 73.18
_cell_angle_gamma 60.00
_space_group_name_H-M_alt 'P 1'
_space_group_IT_number 1
_space_group_name_Hall 'P 1'
loop_
_atom_site_label
_atom_site_fract_x
_atom_site_fract_y
_atom_site_fract_z
K1 0.274 0.274 0.177
K2 0.869 0.869 0.394
K3 0.131 0.131 0.606
K4 0.726 0.726 0.823
O1 0.264 0.811 0.114
O2 0.811 0.264 0.114
O3 0.165 0.607 0.621
O4 0.393 0.393 0.379
O5 0.607 0.165 0.621
O6 0.736 0.189 0.886
O7 0.811 0.811 0.114
O8 0.393 0.835 0.379
O9 0.189 0.189 0.886
O10 0.189 0.736 0.886
O11 0.607 0.607 0.621
O12 0.835 0.393 0.379
Mo1 0.500 0.500 0.500
Mo2 0.000 0.000 0.000
In1 0.598 0.598 0.205
In2 0.402 0.402 0.795
```

Results
E in eV per atom: -5.6387